The following is a DFT calculation (meta-GGA SCAN) of ZrSbPt2 at its PBEsol-relaxed geometry.

a = 4.3645 Å, b = 4.3645 Å, c = 5.4413 Å
α = 66.36°, β = 66.36°, γ = 60.00°
Fractional coordinates of all 4 atoms:
Pt1 0.0115 0.0115 0.9656
Pt2 0.8253 0.8253 0.5241
Sb1 0.4303 0.4303 0.7090
Zr1 0.2329 0.2329 0.3012

Computed properties:
Formation energy (no corrections)   -809.7 meV/atom
Space-group type   R3m

---

The following is a DFT calculation (meta-GGA SCAN) of Zr2SbPt2 at its PBEsol-relaxed geometry.

a = 3.5901 Å, b = 7.3295 Å, c = 7.3295 Å
α = 90.00°, β = 90.00°, γ = 90.00°
Fractional coordinates of all 10 atoms:
Sb1 0.0000 0.0000 0.0000
Sb2 0.0000 0.5000 0.5000
Zr1 0.5000 0.1677 0.6677
Zr2 0.5000 0.6677 0.8323
Zr3 0.5000 0.8323 0.3323
Zr4 0.5000 0.3323 0.1677
Pt1 0.0000 0.3706 0.8706
Pt2 0.0000 0.8706 0.6294
Pt3 0.0000 0.6294 0.1294
Pt4 0.0000 0.1294 0.3706

Computed properties:
Formation energy (no corrections)   -1120.6 meV/atom
Space-group type   P4/mbm

---

The following is a DFT calculation (meta-GGA SCAN) of ZrSbPt2 at its PBEsol-relaxed geometry.

a = 3.4762 Å, b = 3.4762 Å, c = 6.1669 Å
α = 90.00°, β = 90.00°, γ = 90.00°
Fractional coordinates of all 4 atoms:
Pt1 0.0000 0.0000 0.0000
Pt2 0.5000 0.5000 0.2497
Sb1 0.0000 0.0000 0.4559
Zr1 0.5000 0.5000 0.7945

Computed properties:
Formation energy (no corrections)   -641.9 meV/atom
Space-group type   P4mm

---

The following is a DFT calculation (meta-GGA SCAN) of ZrSbPt2 at its PBEsol-relaxed geometry.

a = 2.9969 Å, b = 4.6012 Å, c = 5.3607 Å
α = 90.00°, β = 90.00°, γ = 90.00°
Fractional coordinates of all 4 atoms:
Pt1 0.7503 0.0000 0.9716
Pt2 0.7505 0.5000 0.2580
Sb1 0.7491 0.0000 0.4843
Zr1 0.2501 0.5000 0.7861

Computed properties:
Formation energy (no corrections)   -762.5 meV/atom
Space-group type   Pmm2

---

The following is a DFT calculation (meta-GGA SCAN) of ZrSb3Pt at its PBEsol-relaxed geometry.

a = 5.3501 Å, b = 5.3501 Å, c = 5.3501 Å
α = 90.00°, β = 90.00°, γ = 90.00°
Fractional coordinates of all 5 atoms:
Sb1 0.0000 0.5000 0.0000
Sb2 0.0000 0.0000 0.5000
Sb3 0.5000 0.0000 0.0000
Zr1 0.0000 0.0000 0.0000
Pt1 0.5000 0.5000 0.5000

Computed properties:
Formation energy (no corrections)   885.9 meV/atom
Space-group type   Pm-3m

---

The following is a DFT calculation (meta-GGA SCAN) of ScPt2 at its PBEsol-relaxed geometry.

a = 4.0419 Å, b = 5.5566 Å, c = 8.5590 Å
α = 90.00°, β = 90.00°, γ = 90.00°
Fractional coordinates of all 12 atoms:
Pt1 0.7500 0.8916 0.7611
Pt2 0.7500 0.8627 0.4241
Pt3 0.2500 0.6373 0.9241
Pt4 0.2500 0.6084 0.2611
Pt5 0.7500 0.3916 0.7389
Pt6 0.7500 0.3627 0.0759
Pt7 0.2500 0.1373 0.5759
Pt8 0.2500 0.1084 0.2389
Sc1 0.7500 0.8501 0.1029
Sc2 0.2500 0.6499 0.6029
Sc3 0.7500 0.3501 0.3971
Sc4 0.2500 0.1499 0.8971

Computed properties:
Calculated formation energy   -1.2680 eV/atom
Space-group type   Pnma

---

The following is a DFT calculation (meta-GGA SCAN) of ScPt2 at its PBEsol-relaxed geometry.

a = 4.0482 Å, b = 4.9031 Å, c = 5.5439 Å
α = 104.69°, β = 90.00°, γ = 114.38°
Fractional coordinates of all 6 atoms:
Sc1 0.6471 0.2942 0.3055
Sc2 0.3529 0.7058 0.6945
Pt1 0.6751 0.3501 0.8183
Pt2 0.0000 0.0000 0.0000
Pt3 0.3249 0.6499 0.1817
Pt4 0.0000 0.0000 0.5000

Computed properties:
Calculated formation energy   -1.2665 eV/atom
Space-group type   C2/m

---

The following is a DFT calculation (meta-GGA SCAN) of Sc5Pt3 at its PBEsol-relaxed geometry.

a = 5.4573 Å, b = 7.9292 Å, c = 7.9292 Å
α = 83.20°, β = 69.87°, γ = 69.87°
Fractional coordinates of all 16 atoms:
Pt1 0.7500 0.0000 0.0000
Pt2 0.2500 0.0000 0.0000
Pt3 0.1604 0.1792 0.5000
Pt4 0.8396 0.8208 0.5000
Pt5 0.6604 0.5000 0.1792
Pt6 0.3396 0.5000 0.8208
Sc1 0.7500 0.5000 0.5000
Sc2 0.2500 0.5000 0.5000
Sc3 0.0825 0.7040 0.1309
Sc4 0.9175 0.2960 0.8691
Sc5 0.5825 0.1309 0.7040
Sc6 0.4175 0.8691 0.2960
Sc7 0.2865 0.2960 0.1309
Sc8 0.7135 0.7040 0.8691
Sc9 0.2135 0.8691 0.7040
Sc10 0.7865 0.1309 0.2960

Computed properties:
Calculated formation energy   -1.2149 eV/atom
Space-group type   I4/mcm
Energy relative to the lowest polymorph listed for this composition   28 meV/atom

---

The following is a DFT calculation (meta-GGA SCAN) of ScPt at its PBEsol-relaxed geometry.

a = 5.5304 Å, b = 7.9772 Å, c = 9.6365 Å
α = 90.00°, β = 90.00°, γ = 90.00°
Fractional coordinates of all 24 atoms:
Pt1 0.7500 0.1261 0.8495
Pt2 0.2500 0.8739 0.1505
Pt3 0.7500 0.6261 0.1505
Pt4 0.2500 0.3739 0.8495
Pt5 0.7500 0.5474 0.5694
Pt6 0.2500 0.4526 0.4306
Pt7 0.7500 0.0474 0.4306
Pt8 0.2500 0.9526 0.5694
Pt9 0.0000 0.7500 0.9162
Pt10 0.5000 0.2500 0.0838
Pt11 0.0000 0.2500 0.0838
Pt12 0.5000 0.7500 0.9162
Sc1 0.7500 0.4639 0.8756
Sc2 0.2500 0.5361 0.1244
Sc3 0.7500 0.9639 0.1244
Sc4 0.2500 0.0361 0.8756
Sc5 0.7500 0.8665 0.6833
Sc6 0.2500 0.1335 0.3167
Sc7 0.7500 0.3665 0.3167
Sc8 0.2500 0.6335 0.6833
Sc9 0.0000 0.7500 0.3786
Sc10 0.5000 0.2500 0.6214
Sc11 0.0000 0.2500 0.6214
Sc12 0.5000 0.7500 0.3786

Computed properties:
Calculated formation energy   -1.3404 eV/atom
Space-group type   Pbcm

---

The following is a DFT calculation (meta-GGA SCAN) of Sc5Pt3 at its PBEsol-relaxed geometry.

a = 5.5028 Å, b = 7.9464 Å, c = 7.9464 Å
α = 120.00°, β = 90.00°, γ = 90.00°
Fractional coordinates of all 16 atoms:
Pt1 0.2500 0.0000 0.3977
Pt2 0.7500 0.0000 0.6023
Pt3 0.2500 0.6023 0.6023
Pt4 0.7500 0.6023 0.0000
Pt5 0.7500 0.3977 0.3977
Pt6 0.2500 0.3977 0.0000
Sc1 0.7500 0.0000 0.2413
Sc2 0.2500 0.0000 0.7587
Sc3 0.7500 0.7587 0.7587
Sc4 0.2500 0.7587 0.0000
Sc5 0.0000 0.6667 0.3333
Sc6 0.5000 0.6667 0.3333
Sc7 0.0000 0.3333 0.6667
Sc8 0.5000 0.3333 0.6667
Sc9 0.2500 0.2413 0.2413
Sc10 0.7500 0.2413 0.0000

Computed properties:
Calculated formation energy   -1.2428 eV/atom
Space-group type   P6_3/mcm
Energy relative to the lowest polymorph listed for this composition   0 meV/atom

---

The following is a DFT calculation (meta-GGA SCAN) of Sc4Pt3 at its PBEsol-relaxed geometry.

a = 5.9020 Å, b = 7.3055 Å, c = 7.3055 Å
α = 113.03°, β = 105.62°, γ = 105.62°
Fractional coordinates of all 14 atoms:
Pt1 0.8940 0.1323 0.4023
Pt2 0.7616 0.2700 0.8677
Pt3 0.4917 0.5977 0.7300
Pt4 0.1060 0.8677 0.5977
Pt5 0.2384 0.7300 0.1323
Pt6 0.5083 0.4023 0.2700
Sc1 0.5000 0.0000 0.0000
Sc2 0.0000 0.0000 0.0000
Sc3 0.0827 0.4537 0.3088
Sc4 0.6290 0.8551 0.5463
Sc5 0.7739 0.6912 0.1449
Sc6 0.9173 0.5463 0.6912
Sc7 0.3710 0.1449 0.4537
Sc8 0.2261 0.3088 0.8551

Computed properties:
Calculated formation energy   -1.2966 eV/atom
Space-group type   R-3

---

The following is a DFT calculation (meta-GGA SCAN) of Sc2Pt at its PBEsol-relaxed geometry.

a = 4.3819 Å, b = 6.8562 Å, c = 6.8562 Å
α = 120.00°, β = 90.00°, γ = 90.00°
Fractional coordinates of all 9 atoms:
Pt1 0.5000 0.0000 0.0000
Pt2 0.0000 0.6667 0.3333
Pt3 0.0000 0.3333 0.6667
Sc1 0.0000 0.0000 0.2567
Sc2 0.5000 0.0000 0.5853
Sc3 0.0000 0.7433 0.7433
Sc4 0.0000 0.2567 0.0000
Sc5 0.5000 0.4147 0.4147
Sc6 0.5000 0.5853 0.0000

Computed properties:
Calculated formation energy   -1.1516 eV/atom
Space-group type   P-62m

---

| no. | density (Mg/m³) | V (Å³ per cell) |
| --- | --- | --- |
| 1 | 12.589 | 79.6 |
| 2 | 11.957 | 192.9 |
| 3 | 13.440 | 74.5 |
| 4 | 13.549 | 73.9 |
| 5 | 7.065 | 153.1 |
| 6 | 15.035 | 192.2 |
| 7 | 15.012 | 96.3 |
| 8 | 8.894 | 302.5 |
| 9 | 11.251 | 425.1 |
| 10 | 8.940 | 300.9 |
| 11 | 10.043 | 253.0 |
| 12 | 7.959 | 178.4 |